A plane-wave DFT calculation with SCAN was carried out for Cs2MnS2 at its PBEsol-relaxed geometry.

ΔE_f (raw)	-1330	meV per atom

Cell: 8.3817 8.3817 8.3817 Å, 129.02 70.16 135.22°
With the nearest neighbours (Å) after each atom.
Fractional coordinates of all 10 atoms:
Cs1 0.1491 0.1636 0.3128  6 S 3.48-3.76, 2 Mn 3.55
Cs2 0.3509 0.6636 0.0145  6 S 3.48-3.76, 2 Mn 3.55
Cs3 0.6491 0.3364 0.9855  6 S 3.48-3.76, 2 Mn 3.55
Cs4 0.8509 0.8364 0.6872  6 S 3.48-3.76, 2 Mn 3.55
Mn1 0.2500 0.7500 0.5000  4 S 2.41
Mn2 0.7500 0.2500 0.5000  4 S 2.41
S1 0.0944 0.6749 0.7693  2 Mn 2.41
S2 0.4056 0.1749 0.5804  2 Mn 2.41
S3 0.5944 0.8251 0.4196  2 Mn 2.41
S4 0.9056 0.3251 0.2307  2 Mn 2.41

=====

A plane-wave DFT calculation with SCAN was carried out for InH2Pb at its PBEsol-relaxed geometry.

energy	-28.555	eV/atom

Cell: 5.8978 5.8978 5.8978 Å, 124.78 124.78 81.90°
With the nearest neighbours (Å) after each atom.
Fractional coordinates of all 8 atoms:
In1 0.0000 0.0000 0.0000  4 H 1.98
In2 0.7500 0.2500 0.5000  4 H 1.98
H1 0.0385 0.1250 0.4135  2 In 1.98
H2 0.3750 0.9615 0.0865  2 In 1.98
H3 0.7115 0.6250 0.5865  2 In 1.98
H4 0.8750 0.2885 0.9135  2 In 1.98
Pb1 0.2500 0.7500 0.5000  4 H 2.55
Pb2 0.5000 0.5000 0.0000  4 H 2.55

=====

A plane-wave DFT calculation with SCAN was carried out for Cu2PRu at its PBEsol-relaxed geometry.

ΔH_f (0 K)	0.86	eV per formula unit

Cell: 3.2359 3.2359 4.7543 Å, 90.00 90.00 90.00°
With the nearest neighbours (Å) after each atom.
Fractional coordinates of all 4 atoms:
Cu1 0.0000 0.0000 0.2444  2 Cu 2.32-2.43, 4 P 2.57, 4 Ru 2.59
Cu2 0.0000 0.0000 0.7556  2 Cu 2.32-2.43, 4 P 2.57, 4 Ru 2.59
P1 0.5000 0.5000 0.0000  2 Ru 2.38, 8 Cu 2.57
Ru1 0.5000 0.5000 0.5000  2 P 2.38, 8 Cu 2.59

=====

A plane-wave DFT calculation with SCAN was carried out for BaCr3Ni at its PBEsol-relaxed geometry.

ΔH_f (0 K)	13.44	eV per formula unit

Cell: 4.8073 4.8073 4.8073 Å, 90.00 90.00 90.00°
With the nearest neighbours (Å) after each atom.
Fractional coordinates of all 5 atoms:
Ba1 0.0000 0.0000 0.0000  6 Cr 2.40
Cr1 0.0000 0.0000 0.5000  2 Ba 2.40
Cr2 0.0000 0.5000 0.0000  2 Ba 2.40
Cr3 0.5000 0.0000 0.0000  2 Ba 2.40
Ni1 0.5000 0.5000 0.5000  12 Cr 3.40

=====

A plane-wave DFT calculation with SCAN was carried out for CaAlInPd2 at its PBEsol-relaxed geometry.

ΔH_f (0 K)	4.35	eV per formula unit

Cell: 4.8266 4.8266 5.5644 Å, 90.00 90.00 90.00°
With the nearest neighbours (Å) after each atom.
Fractional coordinates of all 5 atoms:
Ca1 0.0000 0.0000 0.0000  4 Pd 2.41
Al1 0.5000 0.5000 0.5000  4 In 3.41, 8 Pd 3.68
In1 0.0000 0.0000 0.5000  2 Ca 2.78
Pd1 0.0000 0.5000 0.0000  2 Ca 2.41
Pd2 0.5000 0.0000 0.0000  2 Ca 2.41

=====

A plane-wave DFT calculation with SCAN was carried out for Sr3Ir at its PBEsol-relaxed geometry.

ΔH_f (0 K)	-0.14	eV per formula unit

Cell: 5.8258 5.8258 5.8258 Å, 90.00 90.00 90.00°
With the nearest neighbours (Å) after each atom.
Fractional coordinates of all 4 atoms:
Sr1 0.0000 0.0000 0.5000  2 Ir 2.91
Sr2 0.0000 0.5000 0.0000  2 Ir 2.91
Sr3 0.5000 0.0000 0.0000  2 Ir 2.91
Ir1 0.0000 0.0000 0.0000  6 Sr 2.91

=====

A plane-wave DFT calculation with SCAN was carried out for Cr2PRh at its PBEsol-relaxed geometry.

ΔH_f (0 K)	-1.38	eV per formula unit

Cell: 4.4594 4.4594 4.4594 Å, 131.95 131.95 70.31°
With the nearest neighbours (Å) after each atom.
Fractional coordinates of all 4 atoms:
Cr1 0.0000 0.0000 0.0000  4 P 2.57, 4 Cr 2.57, 4 Rh 2.57
Cr2 0.7500 0.2500 0.5000  4 Rh 2.57, 4 Cr 2.57, 4 P 2.57
P1 0.5000 0.5000 0.0000  8 Cr 2.57, 4 Rh 2.57
Rh1 0.2500 0.7500 0.5000  8 Cr 2.57, 4 P 2.57

=====

A plane-wave DFT calculation with SCAN was carried out for SiINO2 at its PBEsol-relaxed geometry.

ΔE_f (raw)	930	meV per atom

Cell: 4.0422 4.0422 4.2613 Å, 90.00 90.00 90.00°
With the nearest neighbours (Å) after each atom.
Fractional coordinates of all 5 atoms:
Si1 0.0000 0.0000 0.0000  4 N 2.86, 8 O 2.94
I1 0.5000 0.5000 0.5000  4 O 2.02, 2 N 2.13
N1 0.5000 0.5000 0.0000  2 I 2.13
O1 0.0000 0.5000 0.5000  2 I 2.02
O2 0.5000 0.0000 0.5000  2 I 2.02

=====

A plane-wave DFT calculation with SCAN was carried out for Cs2ScTlI6 at its PBEsol-relaxed geometry.

ΔE_f (raw)	-1373	meV per atom

Cell: 8.6190 8.6190 8.6190 Å, 60.00 60.00 60.00°
With the nearest neighbours (Å) after each atom.
Fractional coordinates of all 10 atoms:
Cs1 0.2500 0.2500 0.2500  12 I 4.31
Cs2 0.7500 0.7500 0.7500  12 I 4.31
Sc1 0.0000 0.0000 0.0000  6 I 2.85
Tl1 0.5000 0.5000 0.5000  6 I 3.24
I1 0.2340 0.2340 0.7660  1 Sc 2.85
I2 0.2340 0.7660 0.2340  1 Sc 2.85
I3 0.2340 0.7660 0.7660  1 Sc 2.85
I4 0.7660 0.2340 0.2340  1 Sc 2.85
I5 0.7660 0.2340 0.7660  1 Sc 2.85
I6 0.7660 0.7660 0.2340  1 Sc 2.85

=====

A plane-wave DFT calculation with SCAN was carried out for NaPd2PtO at its PBEsol-relaxed geometry.

ΔE_f (raw)	1877	meV per atom

Cell: 4.5795 4.5795 4.6423 Å, 90.00 90.00 90.00°
With the nearest neighbours (Å) after each atom.
Fractional coordinates of all 5 atoms:
Na1 0.0000 0.0000 0.0000  4 Pd 2.29, 2 Pt 2.32
Pd1 0.0000 0.5000 0.0000  2 Na 2.29
Pd2 0.5000 0.0000 0.0000  2 Na 2.29
Pt1 0.0000 0.0000 0.5000  2 Na 2.32
O1 0.5000 0.5000 0.5000  4 Pt 3.24, 8 Pd 3.26

=====

A plane-wave DFT calculation with SCAN was carried out for ScInI3 at its PBEsol-relaxed geometry.

ΔE_f (raw)	-731	meV per atom
polymorph energy (0 for the lowest one)	0	meV/atom

Cell: 5.6609 5.6609 5.6609 Å, 90.00 90.00 90.00°
With the nearest neighbours (Å) after each atom.
Fractional coordinates of all 5 atoms:
Sc1 0.0000 0.0000 0.0000  6 I 2.83
In1 0.5000 0.5000 0.5000  12 I 4.00
I1 0.0000 0.0000 0.5000  2 Sc 2.83
I2 0.0000 0.5000 0.0000  2 Sc 2.83
I3 0.5000 0.0000 0.0000  2 Sc 2.83

=====

A plane-wave DFT calculation with SCAN was carried out for TaTlSbTe2 at its PBEsol-relaxed geometry.

ΔE_f (raw)	150	meV per atom

Cell: 5.3982 5.3982 5.3688 Å, 90.00 90.00 90.00°
With the nearest neighbours (Å) after each atom.
Fractional coordinates of all 5 atoms:
Ta1 0.0000 0.0000 0.0000  2 Sb 2.68, 4 Te 2.70
Tl1 0.5000 0.5000 0.5000  8 Te 3.81, 4 Sb 3.82
Sb1 0.0000 0.0000 0.5000  2 Ta 2.68
Te1 0.0000 0.5000 0.0000  2 Ta 2.70
Te2 0.5000 0.0000 0.0000  2 Ta 2.70